{"formula": "FeAgN2O", "functional": "GGA+U", "state": "optimized geometry", "sg": "P4/mmm", "cell": [[-2.9850, -0.7837, -2.3458], [-1.9974, -1.4043, 3.0109], [-1.4289, 3.4556, 0.6637]], "species": ["O", "Fe", "Ag", "N", "N"], "fractional_positions": [[0.0000, 0.0000, 0.5000], [0.0000, 0.0000, 0.0000], [0.5000, 0.5000, 0.5000], [0.0000, 0.5000, 0.0000], [0.5000, 0.0000, 0.0000]]}

{"formula": "FeAgN2O", "functional": "GGA+U", "state": "optimized geometry", "sg": "P4/mmm", "cell": [[4.0228, 0.0000, 0.0000], [0.0000, 4.0228, 0.0000], [0.0000, 0.0000, 4.0146]], "species": ["O", "Fe", "Ag", "N", "N"], "fractional_positions": [[0.0000, 0.0000, 0.5000], [0.5000, 0.5000, 0.5000], [0.0000, 0.0000, 0.0000], [0.0000, 0.5000, 0.0000], [0.5000, 0.0000, 0.0000]]}

| no. | spin magnetization (μB/atom) | calculated total energy (eV for the cell shown) |
| --- | --- | --- |
| 1 | 0.816 | -24.6 |
| 2 | 1.172 | -20.7 |